No. 1
La2Au3 | meta-GGA SCAN | single point on PBEsol structure

Lattice parameters (Å, degrees): 6.054 6.054 6.054 49.38 49.38 49.38
Element x y z (fractional)
La 0.228 0.228 0.228
La 0.772 0.772 0.772
Au 0.000 0.000 0.000
Au 0.412 0.412 0.412
Au 0.588 0.588 0.588

Summary:
Crystal system: trigonal
Energy above the lowest structure with this stoichiometry: 142 meV per atom



No. 2
La5Au3 | meta-GGA SCAN | single point on PBEsol structure

Lattice parameters (Å, degrees): 8.923 8.923 8.923 97.22 97.22 138.47
Element x y z (fractional)
La 0.086 0.785 0.871
La 0.215 0.086 0.301
La 0.250 0.750 0.500
La 0.285 0.586 0.871
La 0.414 0.285 0.699
La 0.586 0.715 0.301
La 0.715 0.414 0.129
La 0.750 0.250 0.500
La 0.785 0.914 0.699
La 0.914 0.215 0.129
Au 0.160 0.340 0.500
Au 0.250 0.250 0.000
Au 0.340 0.840 0.180
Au 0.660 0.160 0.820
Au 0.750 0.750 0.000
Au 0.840 0.660 0.500

Summary:
Crystal system: tetragonal
Energy above the lowest structure with this stoichiometry: 33 meV per atom



No. 3
LaAu4 | meta-GGA SCAN | single point on PBEsol structure

Lattice parameters (Å, degrees): 8.220 8.220 8.220 109.47 109.47 109.47
Element x y z (fractional)
La 0.000 0.000 0.581
La 0.000 0.581 0.000
La 0.419 0.419 0.419
La 0.581 0.000 0.000
Au 0.000 0.000 0.219
Au 0.000 0.219 0.000
Au 0.000 0.352 0.352
Au 0.000 0.648 0.648
Au 0.219 0.000 0.000
Au 0.250 0.500 0.750
Au 0.250 0.750 0.500
Au 0.352 0.000 0.352
Au 0.352 0.352 0.000
Au 0.500 0.250 0.750
Au 0.500 0.750 0.250
Au 0.648 0.000 0.648
Au 0.648 0.648 0.000
Au 0.750 0.250 0.500
Au 0.750 0.500 0.250
Au 0.781 0.781 0.781

Summary:
Crystal system: cubic
Final energy: -64.62 eV per atom



No. 4
La3Au | meta-GGA SCAN | single point on PBEsol structure

Lattice parameters (Å, degrees): 3.728 3.728 8.454 90.00 90.00 90.00
Element x y z (fractional)
La 0.000 0.000 0.000
La 0.500 0.500 0.289
La 0.500 0.500 0.711
Au 0.000 0.000 0.500

Summary:
Crystal system: tetragonal
Final energy: -50.10 eV per atom